Density functional theory data (GGA-PBE) for a relaxed PmPaRu crystal.

Cell: 6.7862 6.7862 6.7862 Å, 90.00 90.00 90.00°
Space group F-43m (No. 216)
Inequivalent atoms, fractional coordinates:
Pm (0.0000, 0.0000, 0.0000) (multiplicity 4)
Pa (0.0000, 0.0000, 0.5000) (multiplicity 4)
Ru (0.2500, 0.2500, 0.7500) (multiplicity 4)

**Calculated formation energy**: 0.051 eV/atom
**Calculated volume**: 26.0 A^3/atom
**Fermi-level density of states**: 1.887 states/eV/atom
**Total DFT energy (no corrections)**: -7.7895 eV/atom
**E above lowest polymorph**: 1.011 eV per formula unit